Record 1
Fe2NiB after structural relaxation. Source: Alexandria, functional GGA-PBE.

Output
SG	Pnma, No. 62

```
Fe2NiB
1.0
4.417 0.000 0.000
0.000 5.348 0.000
0.000 0.000 6.592
Fe Ni B
8 4 4
direct
0.352 0.680 0.061 Fe
0.148 0.180 0.439 Fe
0.648 0.320 0.561 Fe
0.852 0.820 0.939 Fe
0.648 0.320 0.939 Fe
0.852 0.820 0.561 Fe
0.352 0.680 0.439 Fe
0.148 0.180 0.061 Fe
0.868 0.528 0.250 Ni
0.632 0.028 0.250 Ni
0.132 0.472 0.750 Ni
0.368 0.972 0.750 Ni
0.053 0.876 0.250 B
0.447 0.376 0.250 B
0.947 0.124 0.750 B
0.553 0.624 0.750 B
```

Record 2
FeNiB after structural relaxation. Source: Alexandria, functional GGA-PBE.

Output
SG	Pmma, No. 51

```
FeNiB
1.0
2.981 0.000 0.000
0.000 5.689 0.000
0.000 0.000 9.639
Fe Ni B
6 6 6
direct
0.000 0.208 0.955 Fe
0.000 0.792 0.045 Fe
0.000 0.208 0.545 Fe
0.000 0.792 0.455 Fe
0.000 0.152 0.250 Fe
0.000 0.848 0.750 Fe
0.500 0.436 0.120 Ni
0.500 0.564 0.880 Ni
0.500 0.436 0.380 Ni
0.500 0.564 0.620 Ni
0.500 0.809 0.250 Ni
0.500 0.191 0.750 Ni
0.500 0.060 0.089 B
0.500 0.940 0.911 B
0.500 0.060 0.411 B
0.500 0.940 0.589 B
0.000 0.558 0.250 B
0.000 0.442 0.750 B
```

Record 3
Fe2NiB after structural relaxation. Source: Alexandria, functional GGA-PBE.

Output
SG	I-4, No. 82

```
Fe2NiB
1.0
-4.266 4.266 2.102
4.266 -4.266 2.102
4.266 4.266 -2.102
Fe Ni B
8 4 4
direct
0.627 0.018 0.666 Fe
0.352 0.961 0.334 Fe
0.982 0.648 0.609 Fe
0.039 0.373 0.391 Fe
0.166 0.357 0.026 Fe
0.331 0.140 0.974 Fe
0.643 0.669 0.809 Fe
0.860 0.834 0.191 Fe
0.566 0.959 0.041 Ni
0.918 0.525 0.959 Ni
0.041 0.082 0.607 Ni
0.475 0.434 0.393 Ni
0.195 0.529 0.747 B
0.782 0.447 0.253 B
0.471 0.218 0.666 B
0.553 0.805 0.334 B
```

Record 4
FeNiB after structural relaxation. Source: Alexandria, functional GGA-PBE.

Output
SG	Fmmm, No. 69

```
FeNiB
1.0
5.037 -0.006 0.005
2.574 3.279 0.010
2.463 -0.591 3.232
Fe Ni B
2 2 2
direct
0.332 0.668 0.332 Fe
0.668 0.332 0.668 Fe
0.168 0.168 0.832 Ni
0.832 0.832 0.168 Ni
0.750 0.750 0.750 B
0.250 0.250 0.250 B
```

Record 5
Fe2Ni21B6 after structural relaxation. Source: Alexandria, functional GGA-PBE.

Output
SG	Fm-3m, No. 225

```
Fe2Ni21B6
1.0
-4.189 -0.069 -6.093
-6.588 -3.356 0.081
-6.200 4.019 -0.269
Fe Ni B
2 21 6
direct
0.750 0.750 0.750 Fe
0.250 0.250 0.250 Fe
0.000 0.000 0.000 Ni
0.618 0.618 0.146 Ni
0.618 0.618 0.618 Ni
0.618 0.146 0.618 Ni
0.146 0.618 0.618 Ni
0.382 0.382 0.854 Ni
0.382 0.382 0.382 Ni
0.382 0.854 0.382 Ni
0.854 0.382 0.382 Ni
0.661 0.000 0.339 Ni
0.000 0.661 0.339 Ni
0.000 0.000 0.339 Ni
0.000 0.661 0.000 Ni
0.661 0.000 0.000 Ni
0.000 0.000 0.661 Ni
0.000 0.339 0.000 Ni
0.000 0.339 0.661 Ni
0.661 0.339 0.000 Ni
0.339 0.000 0.661 Ni
0.339 0.000 0.000 Ni
0.339 0.661 0.000 Ni
0.272 0.728 0.272 B
0.728 0.272 0.272 B
0.728 0.728 0.272 B
0.728 0.272 0.728 B
0.272 0.728 0.728 B
0.272 0.272 0.728 B
```

Record 6
Fe3Ni3B2 after structural relaxation. Source: Alexandria, functional GGA-PBE.

Output
SG	P2_1, No. 4

```
Fe3Ni3B2
1.0
5.296 0.000 0.000
0.000 4.412 -0.003
0.000 -0.003 6.631
Fe Ni B
6 6 4
direct
0.323 0.896 0.693 Fe
0.823 0.104 0.307 Fe
0.679 0.604 0.188 Fe
0.179 0.396 0.812 Fe
0.681 0.599 0.810 Fe
0.181 0.401 0.190 Fe
0.316 0.903 0.315 Ni
0.816 0.097 0.685 Ni
0.473 0.380 0.498 Ni
0.973 0.620 0.502 Ni
0.528 0.119 0.001 Ni
0.028 0.881 0.999 Ni
0.121 0.194 0.506 B
0.621 0.806 0.494 B
0.878 0.305 0.999 B
0.378 0.695 0.001 B
```

Energy relative to the elements in eV/atom, matching the order above: -0.208 -0.246 -0.201 -0.252 -0.224 -0.211